1.
RbGaTe2 | Alexandria via LeMat-Bulk | PBE | relaxed; magnetization = 0.00 Bohr magnetons per cell; formation energy (no corrections) = -0.679 eV per atom; space-group type = No. 1
1.0
6.952 0.000 0.000
1.469 7.759 0.000
1.490 3.595 6.877
Rb Ga Te
2 2 4
Cartesian
0.000 0.000 0.000
3.831 3.588 2.174
3.410 6.999 5.319
6.886 6.977 5.352
1.672 6.370 3.432
5.149 8.964 5.015
5.141 5.003 5.817
7.140 3.875 0.444

---

2.
NiMo3 | Alexandria via LeMat-Bulk | PBE | relaxed; magnetization = 0.00 Bohr magnetons per cell; space-group type = No. 10; calculated formation energy = 0.121 eV/atom
1.0
2.627 0.000 0.000
0.000 4.386 0.000
-0.857 0.000 5.140
Ni Mo
1 3
Cartesian
0.000 0.000 0.000
0.066 2.193 3.886
0.885 0.000 2.570
1.704 2.193 1.255

---

3.
Pr5Ho3Er | Alexandria via LeMat-Bulk | PBE | relaxed; magnetization = 0.00 Bohr magnetons per cell; ΔE to the lowest computed polymorph = 44.5 meV/atom; space-group type = No. 140; calculated formation energy = 0.311 eV/atom
1.0
-4.701 4.701 7.124
4.701 -4.701 7.124
4.701 4.701 -7.124
Pr Ho Er
10 6 2
Cartesian
0.000 0.000 0.000
6.593 1.893 -1.892
1.893 2.808 -1.892
6.593 1.893 1.892
1.893 2.808 1.892
0.000 0.000 7.124
2.808 1.893 5.232
-1.893 2.808 5.232
2.808 1.893 9.017
-1.893 2.808 9.017
3.675 1.025 0.000
0.000 0.000 3.562
3.675 -1.025 7.124
1.025 5.726 0.000
0.000 0.000 10.687
1.025 3.675 7.124
4.701 0.000 3.562
0.000 4.701 3.562

---

4.
La6Pm8Mg | Alexandria via LeMat-Bulk | PBE | relaxed; magnetization = 0.00 Bohr magnetons per cell; space-group type = No. 147; calculated formation energy = 0.106 eV/atom
1.0
9.656 0.000 0.000
-4.828 8.362 0.000
0.000 0.000 6.573
La Pm Mg
6 8 1
Cartesian
-2.247 5.379 1.161
1.294 3.727 1.161
3.874 0.743 5.412
0.954 7.619 1.161
3.534 4.635 5.412
7.075 2.984 5.412
-3.340 6.469 4.490
0.896 2.235 4.490
2.384 0.342 2.083
0.000 5.575 4.229
4.828 2.787 2.344
2.444 8.021 4.490
3.932 6.127 2.083
8.168 1.894 2.083
0.000 0.000 0.000

---

5.
LaBeF6 | Alexandria via LeMat-Bulk | PBE | relaxed; magnetization = 0.99 Bohr magnetons per cell; formation energy (no corrections) = -3.121 eV per atom; space-group type = No. 166
1.0
3.408 1.967 2.203
-3.408 1.967 2.203
0.000 -3.935 2.203
La Be F
1 1 6
Cartesian
0.000 0.000 0.000
0.000 0.000 3.304
0.000 -1.384 2.246
-1.199 0.692 2.246
-1.199 -0.692 4.362
1.199 0.692 2.246
1.199 -0.692 4.362
0.000 1.384 4.362

---

6.
SmTl4Pd15 | Alexandria via LeMat-Bulk | PBE | relaxed; magnetization = 0.00 Bohr magnetons per cell; space-group type = No. 123; calculated formation energy = -0.311 eV/atom
1.0
4.117 0.000 0.000
0.000 4.117 0.000
0.000 0.000 20.405
Sm Tl Pd
1 4 15
Cartesian
0.000 0.000 0.000
0.000 0.000 4.166
0.000 0.000 8.182
0.000 0.000 12.223
0.000 0.000 16.239
0.000 2.058 2.115
0.000 2.058 6.166
0.000 2.058 10.202
0.000 2.058 14.239
0.000 2.058 18.289
2.058 0.000 2.115
2.058 0.000 6.166
2.058 0.000 10.202
2.058 0.000 14.239
2.058 0.000 18.289
2.058 2.058 0.000
2.058 2.058 4.117
2.058 2.058 8.186
2.058 2.058 12.218
2.058 2.058 16.288

---

7.
Er3FeNi8 | Alexandria via LeMat-Bulk | PBE | relaxed; magnetization = 4.33 Bohr magnetons per cell; space-group type = No. 160; calculated formation energy = -0.349 eV/atom
1.0
2.476 1.429 8.085
-2.476 1.429 8.085
0.000 -2.859 8.085
Er Fe Ni
3 1 8
Cartesian
0.000 0.000 0.000
0.000 0.000 3.146
0.000 0.000 14.848
0.000 0.000 11.841
0.000 -1.438 5.497
-1.246 0.719 5.497
-1.231 -0.711 9.606
0.000 0.000 7.547
1.246 0.719 5.497
1.231 -0.711 9.606
0.000 1.422 9.606
0.000 0.000 19.687

---

8.
GdNbGe2 | Alexandria via LeMat-Bulk | PBE | relaxed; magnetization = 7.33 Bohr magnetons per cell; ΔE to the lowest computed polymorph = 67.3 meV/atom; space-group type = No. 123; calculated formation energy = -0.434 eV/atom
1.0
3.526 0.000 0.000
0.000 3.526 0.000
0.000 0.000 6.368
Gd Nb Ge
1 1 2
Cartesian
0.000 0.000 0.000
0.000 0.000 3.184
1.763 1.763 1.881
1.763 1.763 4.487

---

9.
NaHo2Fe | Alexandria via LeMat-Bulk | PBE | relaxed; magnetization = 0.00 Bohr magnetons per cell; ΔE to the lowest computed polymorph = 0.0 meV/atom; space-group type = No. 123; calculated formation energy = 0.066 eV/atom
1.0
3.312 0.000 0.000
0.000 3.312 0.000
0.000 0.000 9.377
Na Ho Fe
1 2 1
Cartesian
0.000 0.000 0.000
1.656 1.656 3.093
1.656 1.656 6.284
0.000 0.000 4.688

---

10.
Al2Zn3Ga4 | Alexandria via LeMat-Bulk | PBE | relaxed; magnetization = 0.00 Bohr magnetons per cell; ΔE to the lowest computed polymorph = 0.0 meV/atom; space-group type = No. 156; calculated formation energy = 0.053 eV/atom
1.0
2.861 0.000 0.000
-1.431 2.478 0.000
0.000 0.000 22.008
Al Zn Ga
2 3 4
Cartesian
0.000 0.000 0.000
0.000 0.000 4.639
0.000 0.000 17.204
0.000 1.652 2.327
0.000 1.652 9.707
0.000 0.000 7.341
0.000 0.000 12.132
0.000 1.652 14.763
0.000 1.652 19.609

---

11.
Al2Ru3 | Alexandria via LeMat-Bulk | PBE | relaxed; magnetization = 0.00 Bohr magnetons per cell; ΔE to the lowest computed polymorph = 34.2 meV/atom; space-group type = No. 166; calculated formation energy = -0.269 eV/atom
1.0
2.813 0.000 0.000
-1.407 2.436 0.000
0.000 0.000 30.871
Al Ru
6 9
Cartesian
0.000 0.000 3.108
0.000 0.000 27.763
0.000 1.624 17.473
0.000 1.624 23.688
1.407 0.812 7.183
1.407 0.812 13.398
0.000 0.000 9.252
0.000 0.000 15.435
0.000 0.000 21.619
0.000 1.624 5.145
0.000 1.624 11.329
0.000 1.624 29.832
1.407 0.812 1.038
1.407 0.812 19.542
1.407 0.812 25.726

---

12.
Tb12PmDy7 | Alexandria via LeMat-Bulk | PBE | relaxed; magnetization = 0.00 Bohr magnetons per cell; ΔE to the lowest computed polymorph = 0.0 meV/atom; space-group type = No. 148; calculated formation energy = 0.293 eV/atom
1.0
6.417 3.705 4.565
-6.417 3.705 4.565
0.000 -7.410 4.565
Tb Pm Dy
12 1 7
Cartesian
-2.123 -0.756 4.735
-0.838 -3.683 5.728
-3.608 -1.116 7.967
-2.771 2.567 5.728
1.716 -1.460 4.735
0.406 2.216 4.735
-0.406 -2.216 8.960
-1.716 1.460 8.960
2.771 -2.567 7.967
3.608 1.116 5.728
0.838 3.683 7.967
2.123 0.756 8.960
0.000 0.000 0.000
-2.144 0.756 2.061
0.417 -2.235 2.061
1.727 1.478 2.061
0.000 0.000 6.848
-1.727 -1.478 11.634
-0.417 2.235 11.634
2.144 -0.756 11.634

---

13.
BeAl2As | Alexandria via LeMat-Bulk | PBE | relaxed; magnetization = 0.00 Bohr magnetons per cell; ΔE to the lowest computed polymorph = 166.4 meV/atom; space-group type = No. 10; calculated formation energy = 0.242 eV/atom
1.0
2.838 0.000 0.000
0.000 3.549 0.000
-0.217 0.000 6.115
Be Al As
1 2 1
Cartesian
0.000 0.000 0.000
1.235 1.775 4.774
1.385 1.775 1.341
-0.109 0.000 3.058

---

14.
BeH2Cl2 | Alexandria via LeMat-Bulk | PBE | relaxed; magnetization = 0.00 Bohr magnetons per cell; ΔE to the lowest computed polymorph = 903.3 meV/atom; space-group type = No. 127
1.0
5.846 0.000 0.000
0.000 5.846 0.000
0.000 0.000 3.303
Be H Cl
2 4 4
Cartesian
0.000 0.000 0.000
2.923 2.923 0.000
0.987 1.936 0.000
1.936 4.859 0.000
3.910 0.987 0.000
4.859 3.910 0.000
1.049 3.972 1.651
1.874 1.049 1.651
3.972 4.797 1.651
4.797 1.874 1.651

---

15.
TlCr2Ir | Alexandria via LeMat-Bulk | PBE | relaxed; magnetization = 12.56 Bohr magnetons per cell; ΔE to the lowest computed polymorph = 133.6 meV/atom; space-group type = No. 65; calculated formation energy = 0.508 eV/atom
1.0
5.964 0.000 0.000
0.000 7.339 0.000
0.000 0.000 2.975
Tl Cr Ir
2 4 2
Cartesian
0.000 0.000 0.000
2.982 3.669 0.000
1.491 1.835 1.487
1.491 5.504 1.487
4.473 1.835 1.487
4.473 5.504 1.487
0.000 3.669 0.000
2.982 0.000 0.000

---

16.
Nd3HgIrCl | Alexandria via LeMat-Bulk | PBE | relaxed; magnetization = 0.00 Bohr magnetons per cell; formation energy (no corrections) = -0.807 eV per atom; space-group type = No. 11
1.0
7.689 0.000 0.000
0.000 4.320 0.000
-1.756 0.000 10.460
Nd Hg Ir Cl
6 2 2 2
Cartesian
-0.074 1.080 3.920
-0.111 1.080 9.743
2.083 3.240 6.684
3.849 1.080 3.776
6.043 3.240 0.717
6.006 3.240 6.540
1.321 3.240 1.957
4.612 1.080 8.503
0.209 1.080 6.789
5.723 3.240 3.671
1.753 3.240 9.416
4.180 1.080 1.044

---

17.
NaTi2Nb | Alexandria via LeMat-Bulk | PBE | relaxed; magnetization = 0.00 Bohr magnetons per cell; ΔE to the lowest computed polymorph = 0.0 meV/atom; space-group type = No. 225; calculated formation energy = 0.631 eV/atom
1.0
6.656 0.000 0.000
0.000 6.656 0.000
0.000 0.000 6.656
Na Ti Nb
4 8 4
Cartesian
0.000 0.000 0.000
0.000 3.328 3.328
3.328 0.000 3.328
3.328 3.328 0.000
1.664 1.664 1.664
1.664 1.664 4.992
1.664 4.992 1.664
1.664 4.992 4.992
4.992 1.664 1.664
4.992 1.664 4.992
4.992 4.992 1.664
4.992 4.992 4.992
0.000 0.000 3.328
0.000 3.328 0.000
3.328 0.000 0.000
3.328 3.328 3.328

---

18.
TlTeSN2 | Alexandria via LeMat-Bulk | PBE | relaxed; magnetization = 3.71 Bohr magnetons per cell; formation energy (no corrections) = 1.827 eV per atom; ΔE to the lowest computed polymorph = 677.5 meV/atom; space-group type = No. 123
1.0
4.312 0.000 0.000
0.000 4.312 0.000
0.000 0.000 5.870
Tl Te S N
1 1 1 2
Cartesian
0.000 0.000 0.000
2.156 2.156 2.935
0.000 0.000 2.935
0.000 2.156 0.000
2.156 0.000 0.000

---

19.
Li6PtAu | Alexandria via LeMat-Bulk | PBE | relaxed; magnetization = 0.00 Bohr magnetons per cell; ΔE to the lowest computed polymorph = 107.0 meV/atom; space-group type = No. 12; calculated formation energy = -0.286 eV/atom
1.0
7.144 0.000 0.000
0.000 5.447 0.000
-1.993 0.000 7.112
Li Pt Au
12 2 2
Cartesian
0.110 0.000 2.907
-0.246 1.373 5.805
-0.246 4.074 5.805
1.825 1.351 1.308
1.825 4.096 1.308
1.469 2.723 4.205
3.682 2.723 2.907
3.326 1.351 5.805
3.326 4.096 5.805
5.397 1.373 1.308
5.397 4.074 1.308
5.041 0.000 4.205
0.000 0.000 0.000
3.572 2.723 0.000
-0.997 2.723 3.556
2.575 0.000 3.556

---

20.
KReF5 | Alexandria via LeMat-Bulk | PBE | relaxed; magnetization = 6.00 Bohr magnetons per cell; formation energy (no corrections) = -2.290 eV per atom; space-group type = No. 15
1.0
4.904 -3.748 0.000
4.904 3.748 0.000
-2.989 0.000 7.374
K Re F
2 2 10
Cartesian
2.663 3.523 5.531
4.157 -3.523 1.844
4.904 0.000 0.000
3.410 0.000 3.687
4.632 1.939 0.203
1.627 0.203 2.914
3.683 1.939 3.484
0.132 -0.203 6.601
2.663 0.492 5.531
4.157 -0.492 1.844
6.688 0.203 0.773
3.137 -1.939 3.891
5.193 -0.203 4.460
2.188 -1.939 7.171